! Rb2LiAgF6 (PBE, relaxed); values from VASP
! DFT total energy (eV/f.u.): -38.9
! Offset from the most stable computed form (meV per atom): 16
! SG: Fm-3m, No. 225
! Volume (Å³/cell): 137.4
&SYSTEM
  ibrav = 0, nat = 10, ntyp = 4
/
ATOMIC_SPECIES
Rb 85.47 Rb.upf
F 19.00 F.upf
Li 6.94 Li.upf
Ag 107.87 Ag.upf
ATOMIC_POSITIONS crystal
Rb 0.2500 0.7500 0.5000
Rb 0.7500 0.2500 0.5000
F 0.7565 0.2435 0.0000
F 0.2441 0.2441 0.0000
F 0.2435 0.7565 0.0000
F 0.2435 0.2435 0.4870
F 0.7559 0.7559 0.0000
F 0.7565 0.7565 0.5130
Li 0.0000 0.0000 0.0000
Ag 0.5000 0.5000 0.0000
CELL_PARAMETERS angstrom
5.7021 -0.9926 -0.2395
0.4064 0.9419 5.7013
-3.7174 -3.9538 -2.0262